{
  "formula": "MnTl2Pb",
  "functional": "GGA-PBEsol",
  "state": "relaxed",
  "lattice_angstrom": [[4.2916, 0.0000, 0.0000], [0.0000, 3.4615, 0.0000], [0.0000, 0.0000, 13.3304]],
  "species": ["Mn", "Mn", "Tl", "Tl", "Tl", "Tl", "Pb", "Pb"],
  "frac_coords": [[0.0000, 0.0000, 0.0000], [0.0000, 0.5000, 0.5000], [0.0000, 0.0000, 0.2248], [0.0000, 0.5000, 0.7248], [0.5000, 0.0000, 0.8506], [0.5000, 0.5000, 0.3506], [0.5000, 0.0000, 0.5641], [0.5000, 0.5000, 0.0641]],
  "e_above_lowest_polymorph_mev_per_atom": 57.9,
  "e_form_kcal_per_mol_atoms": 8.6,
  "dos_ef_per_ev_cell": 4.2,
  "dft_energy_ev_per_atom": -4.3800
}